# 1
Compound: BaCd2InPt
Source: the Open Quantum Materials Database
Functional: PBE
Structure: relaxed

Lattice parameters (Å, degrees): 4.6514 4.6514 12.4721 90.00 90.00 90.00
Last column: nearest neighbours and their distance in Å.
Fractional positions:
Ba 0.0000 0.0000 0.0000  4 Pt 3.50, 4 In 3.61, 4 Cd 3.67
Ba 0.5000 0.5000 0.5000  4 Pt 3.50, 4 In 3.61, 4 Cd 3.67
Cd 0.0000 0.5000 0.2720  2 Pt 2.85, 2 In 3.00
Cd 0.0000 0.5000 0.7720  2 Pt 2.85, 2 In 3.00
Cd 0.5000 0.0000 0.2720  2 Pt 2.85, 2 In 3.00
Cd 0.5000 0.0000 0.7720  2 Pt 2.85, 2 In 3.00
In 0.0000 0.0000 0.6196  1 Pt 2.69, 4 Cd 3.00
In 0.5000 0.5000 0.1196  1 Pt 2.69, 4 Cd 3.00
Pt 0.0000 0.0000 0.4036  1 In 2.69, 4 Cd 2.85
Pt 0.5000 0.5000 0.9036  1 In 2.69, 4 Cd 2.85

Values from the calculation:
Magnetization: 0.00 μB/atom
DFT total energy: -2.9379 eV/atom
Density: 8.3 g cm⁻³

***

# 2
Compound: BaCd2InSn
Source: the Open Quantum Materials Database
Functional: PBE
Structure: relaxed

Lattice parameters (Å, degrees): 4.8860 4.8860 12.3747 90.00 90.00 90.00
Last column: nearest neighbours and their distance in Å.
Fractional positions:
Ba 0.2500 0.2500 0.2456  4 Sn 3.71, 8 Cd 3.76-3.90, 4 In 3.99
Ba 0.7500 0.7500 0.7544  4 Sn 3.71, 8 Cd 3.76-3.90, 4 In 3.99
Cd 0.2500 0.2500 0.6354  1 Sn 2.84, 4 In 2.96
Cd 0.2500 0.7500 0.0000  4 Sn 2.96
Cd 0.7500 0.2500 0.0000  4 Sn 2.96
Cd 0.7500 0.7500 0.3646  1 Sn 2.84, 4 In 2.96
In 0.2500 0.7500 0.5000  4 Cd 2.96
In 0.7500 0.2500 0.5000  4 Cd 2.96
Sn 0.2500 0.2500 0.8645  5 Cd 2.84-2.96
Sn 0.7500 0.7500 0.1355  5 Cd 2.84-2.96

Values from the calculation:
E above lowest polymorph: 0.00 kcal/mol of atoms
DFT total energy: -2.4869 eV/atom
Density: 6.7 g cm⁻³

***

Look up the density of the first one. 8.3 g cm⁻³

***

What is the DFT total energy in the second record? -2.4869 eV/atom

***

Which formula does entry 1 have? BaCd2InPt

***

Which formula does entry 1 have? BaCd2InPt